The following is a PBE calculation of an optimized crystal structure of Na2Ag4Sn3, from the Alexandria database.

Summary:
The density of states at the Fermi level comes out at 3.91 states/eV/f.u. As for the space-group type: No. 64. For the total energy, the calculation gives -2.98 eV/atom. Its formation energy is -0.089 eV per atom.

Unit cell a=9.339 b=9.339 c=7.649 alpha=90.00 beta=90.00 gamma=140.70
Fractional coordinates of all 18 atoms:
1 Na 0.089 0.911 0.889
2 Na 0.411 0.589 0.389
3 Na 0.589 0.411 0.611
4 Na 0.911 0.089 0.111
5 Ag 0.162 0.838 0.512
6 Ag 0.171 0.329 0.750
7 Ag 0.329 0.171 0.250
8 Ag 0.338 0.662 0.012
9 Ag 0.662 0.338 0.988
10 Ag 0.671 0.829 0.750
11 Ag 0.829 0.671 0.250
12 Ag 0.838 0.162 0.488
13 Sn 0.000 0.000 0.500
14 Sn 0.004 0.496 0.750
15 Sn 0.496 0.004 0.250
16 Sn 0.500 0.500 0.000
17 Sn 0.504 0.996 0.750
18 Sn 0.996 0.504 0.250



The following is a PBE calculation of an optimized crystal structure of MnAl2Pb, from the Alexandria database.

Summary:
The density of states at the Fermi level comes out at 2.14 states/eV/f.u. As for the space-group type: No. 12. For the total energy, the calculation gives -4.73 eV/atom. Its formation energy is 0.356 eV per atom.

Unit cell a=5.597 b=10.369 c=3.188 alpha=90.00 beta=121.71 gamma=90.00
Fractional coordinates of all 8 atoms:
1 Mn 0.000 0.000 0.000
2 Mn 0.500 0.500 0.000
3 Al 0.250 0.250 0.000
4 Al 0.250 0.750 0.000
5 Al 0.750 0.250 0.000
6 Al 0.750 0.750 0.000
7 Pb 0.000 0.500 0.000
8 Pb 0.500 0.000 0.000



The following is a PBE calculation of an optimized crystal structure of Si2AgW, from the Alexandria database.

Summary:
The density of states at the Fermi level comes out at 2.38 states/eV/f.u. As for the space-group type: No. 123. The calculation puts the polymorph energy (0 for the lowest one) at 163 meV/atom. For the total energy, the calculation gives -6.29 eV/atom. As for the raw formation energy: 376 meV/atom.

Unit cell a=2.808 b=2.808 c=8.139 alpha=90.00 beta=90.00 gamma=90.00
Fractional coordinates of all 4 atoms:
1 Si 0.000 0.000 0.222
2 Si 0.000 0.000 0.778
3 Ag 0.500 0.500 0.500
4 W 0.500 0.500 0.000



The following is a PBE calculation of an optimized crystal structure of Pm3ErN4, from the Alexandria database.

Summary:
The density of states at the Fermi level comes out at 0.74 states/eV/f.u. As for the space-group type: No. 13. The calculation puts the polymorph energy (0 for the lowest one) at 0 meV/atom. For the total energy, the calculation gives -8.02 eV/atom. As for the raw formation energy: -1503 meV/atom.

Unit cell a=6.181 b=7.144 c=6.180 alpha=90.00 beta=109.46 gamma=90.00
Fractional coordinates of all 16 atoms:
1 Pm 0.000 0.124 0.250
2 Pm 0.000 0.372 0.750
3 Pm 0.000 0.628 0.250
4 Pm 0.000 0.876 0.750
5 Pm 0.500 0.372 0.250
6 Pm 0.500 0.628 0.750
7 Er 0.500 0.124 0.750
8 Er 0.500 0.876 0.250
9 N 0.253 0.367 0.505
10 N 0.253 0.633 0.005
11 N 0.258 0.123 0.998
12 N 0.258 0.877 0.498
13 N 0.742 0.123 0.502
14 N 0.742 0.877 0.002
15 N 0.747 0.367 0.995
16 N 0.747 0.633 0.495



The following is a PBE calculation of an optimized crystal structure of PuTiPd14, from the Alexandria database.

Summary:
The density of states at the Fermi level comes out at 27.81 states/eV/f.u. As for the space-group type: No. 123. For the total energy, the calculation gives -6.23 eV/atom. Its formation energy is -0.300 eV per atom.

Unit cell a=5.728 b=5.728 c=7.773 alpha=90.00 beta=90.00 gamma=90.00
Fractional coordinates of all 16 atoms:
1 Pu 0.000 0.000 0.000
2 Ti 0.500 0.500 0.000
3 Pd 0.000 0.000 0.500
4 Pd 0.000 0.500 0.000
5 Pd 0.000 0.500 0.500
6 Pd 0.256 0.256 0.248
7 Pd 0.256 0.256 0.752
8 Pd 0.256 0.744 0.248
9 Pd 0.256 0.744 0.752
10 Pd 0.500 0.000 0.000
11 Pd 0.500 0.000 0.500
12 Pd 0.500 0.500 0.500
13 Pd 0.744 0.256 0.248
14 Pd 0.744 0.256 0.752
15 Pd 0.744 0.744 0.248
16 Pd 0.744 0.744 0.752



The following is a PBE calculation of an optimized crystal structure of BeReAu, from the Alexandria database.

Summary:
The density of states at the Fermi level comes out at 0.80 states/eV/f.u. As for the space-group type: No. 107. The calculation puts the polymorph energy (0 for the lowest one) at 0 meV/atom. For the total energy, the calculation gives -6.24 eV/atom. Its formation energy is 0.241 eV per atom.

Unit cell a=2.690 b=2.690 c=11.447 alpha=90.00 beta=90.00 gamma=90.00
Fractional coordinates of all 6 atoms:
1 Be 0.000 0.000 0.000
2 Be 0.500 0.500 0.500
3 Re 0.000 0.000 0.646
4 Re 0.500 0.500 0.146
5 Au 0.000 0.000 0.345
6 Au 0.500 0.500 0.845



The following is a PBE calculation of an optimized crystal structure of NdErTeSe, from the Alexandria database.

Summary:
The density of states at the Fermi level comes out at 1.97 states/eV/f.u. As for the space-group type: No. 160. For the total energy, the calculation gives -5.49 eV/atom. As for the raw formation energy: -1502 meV/atom.

Unit cell a=4.117 b=4.117 c=22.840 alpha=90.00 beta=90.00 gamma=120.00
Fractional coordinates of all 12 atoms:
1 Nd 0.000 0.000 0.000
2 Nd 0.333 0.667 0.667
3 Nd 0.667 0.333 0.333
4 Er 0.000 0.000 0.162
5 Er 0.333 0.667 0.828
6 Er 0.667 0.333 0.495
7 Te 0.000 0.000 0.576
8 Te 0.333 0.667 0.243
9 Te 0.667 0.333 0.909
10 Se 0.000 0.000 0.754
11 Se 0.333 0.667 0.420
12 Se 0.667 0.333 0.087



The following is a PBE calculation of an optimized crystal structure of BaErMg2Tl4, from the Alexandria database.

Summary:
The density of states at the Fermi level comes out at 4.42 states/eV/f.u. As for the space-group type: No. 166. For the total energy, the calculation gives -2.64 eV/atom. Its formation energy is -0.252 eV per atom.

Unit cell a=11.280 b=11.280 c=11.280 alpha=25.73 beta=25.73 gamma=25.73
Fractional coordinates of all 8 atoms:
1 Ba 0.000 0.000 0.000
2 Er 0.500 0.500 0.500
3 Mg 0.235 0.235 0.235
4 Mg 0.765 0.765 0.765
5 Tl 0.126 0.126 0.126
6 Tl 0.397 0.397 0.397
7 Tl 0.603 0.603 0.603
8 Tl 0.874 0.874 0.874



What did the first record say?
The following is a PBE calculation of an optimized crystal structure of Na2Ag4Sn3, from the Alexandria database.

Summary:
The density of states at the Fermi level comes out at 3.91 states/eV/f.u. As for the space-group type: No. 64. For the total energy, the calculation gives -2.98 eV/atom. Its formation energy is -0.089 eV per atom.

Unit cell a=9.339 b=9.339 c=7.649 alpha=90.00 beta=90.00 gamma=140.70
Fractional coordinates of all 18 atoms:
1 Na 0.089 0.911 0.889
2 Na 0.411 0.589 0.389
3 Na 0.589 0.411 0.611
4 Na 0.911 0.089 0.111
5 Ag 0.162 0.838 0.512
6 Ag 0.171 0.329 0.750
7 Ag 0.329 0.171 0.250
8 Ag 0.338 0.662 0.012
9 Ag 0.662 0.338 0.988
10 Ag 0.671 0.829 0.750
11 Ag 0.829 0.671 0.250
12 Ag 0.838 0.162 0.488
13 Sn 0.000 0.000 0.500
14 Sn 0.004 0.496 0.750
15 Sn 0.496 0.004 0.250
16 Sn 0.500 0.500 0.000
17 Sn 0.504 0.996 0.750
18 Sn 0.996 0.504 0.250



Look up the density of states at the Fermi level of the fourth one. 0.74 states/eV/f.u.